Record 1
Below is a relaxed structure of RbNbRh2O, with properties calculated at the PBE-GGA level.

Computed properties:
The value obtained for the magnetization is 0.0 μB per formula unit. As for the total energy: -30.33 eV for the cell shown. Its formation energy (no corrections) is 0.074 eV per atom. As for the volume: 103.5 Å³/cell. The density of states at the Fermi level is 3.7 states/eV/cell.

```
RbNbRh2O
1.0
-3.1873 -1.4170 3.6551
-0.4932 -3.5880 -1.8211
3.8717 -1.8766 2.6487
Nb Rh O Rb
1 2 1 1
direct
0.0000 0.0000 0.0000 Nb
0.0000 0.0000 0.5000 Rh
0.5000 0.0000 0.0000 Rh
0.0000 0.5000 0.0000 O
0.5000 0.5000 0.5000 Rb
```

=====

Record 2
Below is a relaxed structure of RbNbRhO2, with properties calculated at the PBE-GGA level.

Computed properties:
The value obtained for the magnetization is 4.1 μB per formula unit. As for the total energy: -22.74 eV for the cell shown. Its formation energy (no corrections) is 1.113 eV per atom. As for the volume: 95.1 Å³/cell. The density of states at the Fermi level is 8.9 states/eV/cell.

```
RbNbRhO2
1.0
4.0744 0.0000 0.0000
0.0000 5.7305 0.0000
0.0000 0.0000 4.0744
Nb Rh O Rb
1 1 2 1
direct
0.5000 0.5000 0.5000 Nb
0.0000 0.0000 0.0000 Rh
0.0000 0.0000 0.5000 O
0.5000 0.0000 0.0000 O
0.0000 0.5000 0.0000 Rb
```

=====

Record 3
Below is a relaxed structure of Rb2NbRu3O12, with properties calculated at the PBE-GGA level.

Computed properties:
The value obtained for the magnetization is 0.0 μB per formula unit. As for the total energy: -123.28 eV for the cell shown. Its formation energy (no corrections) is -1.330 eV per atom. As for the volume: 274.2 Å³/cell. The density of states at the Fermi level is 14.1 states/eV/cell.

```
Rb2NbRu3O12
1.0
7.3657 0.1109 0.0786
3.7340 6.3500 0.0786
3.7340 2.1735 5.9670
Rb Nb Ru O
2 1 3 12
direct
0.6247 0.6247 0.6247 Rb
0.3753 0.3753 0.3753 Rb
0.0000 0.0000 0.0000 Nb
0.5000 0.0000 0.0000 Ru
0.0000 0.5000 0.0000 Ru
0.0000 0.0000 0.5000 Ru
0.3079 0.3079 0.9282 O
0.9292 0.9292 0.3271 O
0.3271 0.9292 0.9292 O
0.9282 0.3079 0.3079 O
0.9292 0.3271 0.9292 O
0.3079 0.9282 0.3079 O
0.6921 0.6921 0.0718 O
0.0708 0.0708 0.6729 O
0.6729 0.0708 0.0708 O
0.0718 0.6921 0.6921 O
0.0708 0.6729 0.0708 O
0.6921 0.0718 0.6921 O
```

=====

Record 4
Below is a relaxed structure of Rb2Nb3RuO12, with properties calculated at the PBE-GGA level.

Computed properties:
The value obtained for the magnetization is 1.1 μB per formula unit. As for the total energy: -136.69 eV for the cell shown. Its formation energy (no corrections) is -1.987 eV per atom. As for the volume: 294.2 Å³/cell. The density of states at the Fermi level is 7.1 states/eV/cell.

```
Rb2Nb3RuO12
1.0
7.4275 -0.0176 -0.0125
3.6528 6.4673 -0.0125
3.6528 2.1262 6.1078
Rb Nb Ru O
2 3 1 12
direct
0.6171 0.6171 0.6171 Rb
0.3829 0.3829 0.3829 Rb
0.5000 0.0000 0.0000 Nb
0.0000 0.5000 0.0000 Nb
0.0000 0.0000 0.5000 Nb
0.0000 0.0000 0.0000 Ru
0.3140 0.3140 0.9380 O
0.9413 0.9413 0.2989 O
0.2989 0.9413 0.9413 O
0.9380 0.3140 0.3140 O
0.9413 0.2989 0.9413 O
0.3140 0.9380 0.3140 O
0.6860 0.6860 0.0620 O
0.0587 0.0587 0.7011 O
0.7011 0.0587 0.0587 O
0.0620 0.6860 0.6860 O
0.0587 0.7011 0.0587 O
0.6860 0.0620 0.6860 O
```